(1)
The following is a DFT calculation (GGA-PBE) of SrNd6In5 after structural relaxation.

Output
DFT formation energy, kJ per mole of atoms: -35
Space-group type: Immm, No. 71
DOS at the Fermi energy, states/eV/atom: 0.85
Total DFT energy (no corrections), eV/atom: -4.029
Magnetic moment, μB per formula unit: 0.0
Crystal system: orthorhombic

a b c (Å): 5.5674 7.8001 9.7234
angles (deg): 113.65 106.64 90.00
Positions (direct):
In 0.3329 0.3329 0.6659
In 0.3498 0.8498 0.6997
In 0.6671 0.6671 0.3341
Nd 0.5000 0.7271 0.0000
Nd 0.1763 0.9185 0.3526
In 0.6502 0.1502 0.3003
Nd 0.8237 0.0815 0.6474
Nd 0.1763 0.4340 0.3526
Nd 0.8237 0.5660 0.6474
In 0.0000 0.5000 0.0000
Sr 0.0000 0.0000 0.0000
Nd 0.5000 0.2729 0.0000

=====

(2)
The following is a DFT calculation (GGA-PBE) of CaThAsP after structural relaxation.

Output
DFT formation energy, kJ per mole of atoms: -123
Space-group type: R3m, No. 160
Total DFT energy (no corrections), eV/atom: -6.148
Magnetic moment, μB per formula unit: 0.0
Crystal system: trigonal

a b c (Å): 4.2102 4.2095 7.4802
angles (deg): 90.01 106.34 120.00
Positions (direct):
Th 0.3112 0.5535 0.8800
As 0.4787 0.1373 0.6311
Ca 0.9609 0.3785 0.3547
P 0.1271 0.9616 0.1038

=====

(3)
The following is a DFT calculation (GGA-PBE) of Pr6Os2RuCl3 after structural relaxation.

Output
Raw formation energy, eV/atom: -0.807
Space-group type: C2/m, No. 12
DOS at the Fermi energy, states/eV/atom: 0.42
Total DFT energy (no corrections), eV/atom: -6.303
Magnetic moment, μB per formula unit: 0.0
Crystal system: monoclinic

a b c (Å): 4.3042 8.6503 10.3889
angles (deg): 120.94 101.96 90.00
Positions (direct):
Pr 0.6796 0.5147 0.3593
Cl 0.1658 0.7890 0.3316
Ru 0.5000 0.0000 0.0000
Cl 0.5000 0.5000 0.0000
Os 0.1434 0.2493 0.2868
Cl 0.8342 0.2110 0.6684
Pr 0.0043 0.7880 0.0085
Pr 0.6669 0.0794 0.3338
Os 0.8566 0.7507 0.7132
Pr 0.9957 0.2120 0.9915
Pr 0.3331 0.9206 0.6662
Pr 0.3204 0.4853 0.6407

=====

(4)
The following is a DFT calculation (GGA-PBE) of KLa2V after structural relaxation.

Output
ΔE to the lowest computed polymorph, eV/f.u.: 0.21
DFT formation energy, kJ per mole of atoms: 74
Space-group type: I-42d, No. 122
DOS at the Fermi energy, states/eV/atom: 0.53
Total DFT energy (no corrections), eV/atom: -4.248
Magnetic moment, μB per formula unit: 0.0
Crystal system: tetragonal

a b c (Å): 8.1816 8.1816 7.4406
angles (deg): 56.65 56.65 90.00
Positions (direct):
V 0.0000 0.0000 0.0000
K 0.5000 0.5000 0.0000
La 0.8750 0.0284 0.7500
La 0.9716 0.6250 0.2500
La 0.3750 0.2216 0.7500
V 0.7500 0.2500 0.5000
La 0.7784 0.1250 0.2500
K 0.2500 0.7500 0.5000